First-principles (GGA-PBE) data for a geometry-optimized Pm5Sb2O12 structure, as listed in the Alexandria database.

abc: 7.1286 7.1286 7.6020
angles: 105.52 105.52 51.56
Positions (direct):
Pm1 0.0000 0.0000 0.0000
Pm2 0.2992 0.2992 0.1366
Pm3 0.3033 0.3033 0.6689
Pm4 0.6967 0.6967 0.3311
Pm5 0.7008 0.7008 0.8634
Sb1 0.2450 0.7550 0.5000
Sb2 0.7550 0.2450 0.5000
O1 0.9999 0.9999 0.3165
O2 0.0001 0.0001 0.6835
O3 0.0954 0.5973 0.9257
O4 0.1023 0.5674 0.4159
O5 0.4027 0.9046 0.0743
O6 0.4326 0.8977 0.5841
O7 0.4988 0.4988 0.6837
O8 0.5012 0.5012 0.3163
O9 0.5674 0.1023 0.4159
O10 0.5973 0.0954 0.9257
O11 0.8977 0.4326 0.5841
O12 0.9046 0.4027 0.0743

Results
space-group type = No. 12
electronic total energy = -7.572 eV/atom

First-principles (GGA-PBE) data for a geometry-optimized PmSbO structure, as listed in the Alexandria database.

abc: 3.8043 3.8043 6.0186
angles: 90.00 90.00 120.00
Positions (direct):
Pm1 0.0000 0.0000 0.0000
Sb1 0.3333 0.6667 0.5000
O1 0.6667 0.3333 0.0000

Results
ΔE to the lowest computed polymorph = 85 meV/atom
space-group type = No. 187

First-principles (GGA-PBE) data for a geometry-optimized Pm2SbO6 structure, as listed in the Alexandria database.

abc: 5.7270 6.0375 9.2341
angles: 90.00 119.52 90.00
Positions (direct):
Pm1 0.1879 0.0811 0.2354
Pm2 0.1879 0.4189 0.7354
Pm3 0.8121 0.5811 0.2646
Pm4 0.8121 0.9189 0.7646
Sb1 0.5000 0.0000 0.0000
Sb2 0.5000 0.5000 0.5000
O1 0.1656 0.1686 0.9473
O2 0.1656 0.3314 0.4473
O3 0.2540 0.7350 0.8999
O4 0.2540 0.7650 0.3999
O5 0.4527 0.0902 0.7817
O6 0.4527 0.4098 0.2817
O7 0.5473 0.5902 0.7183
O8 0.5473 0.9098 0.2183
O9 0.7460 0.2350 0.6001
O10 0.7460 0.2650 0.1001
O11 0.8344 0.6686 0.5527
O12 0.8344 0.8314 0.0527

Results
space-group type = No. 14
electronic total energy = -7.212 eV/atom

First-principles (GGA-PBE) data for a geometry-optimized PmSbO structure, as listed in the Alexandria database.

abc: 6.8250 4.2574 16.3521
angles: 90.00 90.00 90.00
Positions (direct):
Pm1 0.0290 0.2500 0.1746
Pm2 0.4710 0.7500 0.6746
Pm3 0.5290 0.2500 0.3254
Pm4 0.9710 0.7500 0.8254
Sb1 0.1402 0.7500 0.0206
Sb2 0.3598 0.2500 0.5206
Sb3 0.6402 0.7500 0.4794
Sb4 0.8598 0.2500 0.9794
O1 0.2139 0.7500 0.7470
O2 0.2861 0.2500 0.2470
O3 0.7139 0.7500 0.7530
O4 0.7861 0.2500 0.2530

Results
ΔE to the lowest computed polymorph = 272 meV/atom
space-group type = No. 62

First-principles (GGA-PBE) data for a geometry-optimized Pm5Sb3O12 structure, as listed in the Alexandria database.

abc: 11.9673 11.9673 11.9673
angles: 109.47 109.47 109.47
Positions (direct):
Pm1 0.0000 0.0000 0.0000
Pm2 0.0000 0.0000 0.5000
Pm3 0.0000 0.5000 0.0000
Pm4 0.0000 0.5000 0.5000
Pm5 0.1250 0.7500 0.8750
Pm6 0.1250 0.8750 0.2500
Pm7 0.2500 0.1250 0.8750
Pm8 0.2500 0.6250 0.3750
Pm9 0.3750 0.2500 0.6250
Pm10 0.3750 0.6250 0.7500
Pm11 0.5000 0.0000 0.0000
Pm12 0.5000 0.0000 0.5000
Pm13 0.5000 0.5000 0.0000
Pm14 0.5000 0.5000 0.5000
Pm15 0.6250 0.3750 0.2500
Pm16 0.6250 0.7500 0.3750
Pm17 0.7500 0.3750 0.6250
Pm18 0.7500 0.8750 0.1250
Pm19 0.8750 0.1250 0.7500
Pm20 0.8750 0.2500 0.1250
Sb1 0.1250 0.2500 0.3750
Sb2 0.1250 0.3750 0.7500
Sb3 0.2500 0.3750 0.1250
Sb4 0.2500 0.8750 0.6250
Sb5 0.3750 0.1250 0.2500
Sb6 0.3750 0.7500 0.1250
Sb7 0.6250 0.2500 0.8750
Sb8 0.6250 0.8750 0.7500
Sb9 0.7500 0.1250 0.3750
Sb10 0.7500 0.6250 0.8750
Sb11 0.8750 0.6250 0.2500
Sb12 0.8750 0.7500 0.6250
O1 0.0496 0.2267 0.1238
O2 0.0496 0.3229 0.9258
O3 0.0742 0.6238 0.3971
O4 0.0742 0.9504 0.6771
O5 0.1029 0.7267 0.6771
O6 0.1029 0.8762 0.4258
O7 0.1238 0.0496 0.2267
O8 0.1238 0.5742 0.8971
O9 0.1771 0.2267 0.6029
O10 0.1771 0.4504 0.5742
O11 0.2267 0.1238 0.0496
O12 0.2267 0.6029 0.1771
O13 0.2733 0.3229 0.8971
O14 0.2733 0.4504 0.3762
O15 0.3229 0.8971 0.2733
O16 0.3229 0.9258 0.0496
O17 0.3762 0.2733 0.4504
O18 0.3762 0.6029 0.9258
O19 0.3971 0.0742 0.6238
O20 0.3971 0.8229 0.7733
O21 0.4258 0.1029 0.8762
O22 0.4258 0.8229 0.5496
O23 0.4504 0.3762 0.2733
O24 0.4504 0.5742 0.1771
O25 0.5496 0.4258 0.8229
O26 0.5496 0.6238 0.7267
O27 0.5742 0.1771 0.4504
O28 0.5742 0.8971 0.1238
O29 0.6029 0.1771 0.2267
O30 0.6029 0.9258 0.3762
O31 0.6238 0.3971 0.0742
O32 0.6238 0.7267 0.5496
O33 0.6771 0.0742 0.9504
O34 0.6771 0.1029 0.7267
O35 0.7267 0.5496 0.6238
O36 0.7267 0.6771 0.1029
O37 0.7733 0.3971 0.8229
O38 0.7733 0.8762 0.9504
O39 0.8229 0.5496 0.4258
O40 0.8229 0.7733 0.3971
O41 0.8762 0.4258 0.1029
O42 0.8762 0.9504 0.7733
O43 0.8971 0.1238 0.5742
O44 0.8971 0.2733 0.3229
O45 0.9258 0.0496 0.3229
O46 0.9258 0.3762 0.6029
O47 0.9504 0.6771 0.0742
O48 0.9504 0.7733 0.8762

Results
space-group type = No. 230
electronic total energy = -6.991 eV/atom

First-principles (GGA-PBE) data for a geometry-optimized Pm3SbO4 structure, as listed in the Alexandria database.

abc: 3.9813 3.9813 10.3026
angles: 90.00 90.00 90.00
Positions (direct):
Pm1 0.0000 0.0000 0.0000
Pm2 0.5000 0.5000 0.2403
Pm3 0.5000 0.5000 0.7597
Sb1 0.0000 0.0000 0.5000
O1 0.0000 0.5000 0.1405
O2 0.0000 0.5000 0.8595
O3 0.5000 0.0000 0.1405
O4 0.5000 0.0000 0.8595

Results
space-group type = No. 123
electronic total energy = -7.546 eV/atom

First-principles (GGA-PBE) data for a geometry-optimized Pm3Sb3O structure, as listed in the Alexandria database.

abc: 8.1846 8.1846 6.5872
angles: 92.11 92.11 113.83
Positions (direct):
Pm1 0.0845 0.0845 0.2897
Pm2 0.1548 0.4338 0.7608
Pm3 0.4338 0.1548 0.7608
Pm4 0.5662 0.8452 0.2392
Pm5 0.8452 0.5662 0.2392
Pm6 0.9155 0.9155 0.7103
Sb1 0.1884 0.8116 0.0000
Sb2 0.2151 0.7849 0.5000
Sb3 0.4158 0.4158 0.1778
Sb4 0.5842 0.5842 0.8222
Sb5 0.7849 0.2151 0.5000
Sb6 0.8116 0.1884 0.0000
O1 0.1798 0.1798 0.6355
O2 0.8202 0.8202 0.3645

Results
space-group type = No. 12
electronic total energy = -5.984 eV/atom

First-principles (GGA-PBE) data for a geometry-optimized Pm4Sb2O3 structure, as listed in the Alexandria database.

abc: 8.5003 8.5003 7.6537
angles: 90.00 90.00 132.54
Positions (direct):
Pm1 0.2065 0.2935 0.7500
Pm2 0.2263 0.7737 0.8822
Pm3 0.2737 0.7263 0.3822
Pm4 0.2935 0.2065 0.2500
Pm5 0.7065 0.7935 0.7500
Pm6 0.7263 0.2737 0.6178
Pm7 0.7737 0.2263 0.1178
Pm8 0.7935 0.7065 0.2500
Sb1 0.1032 0.8968 0.5770
Sb2 0.3968 0.6032 0.0770
Sb3 0.6032 0.3968 0.9230
Sb4 0.8968 0.1032 0.4230
O1 0.0000 0.0000 0.0000
O2 0.0480 0.4520 0.7500
O3 0.4520 0.0480 0.2500
O4 0.5000 0.5000 0.5000
O5 0.5480 0.9520 0.7500
O6 0.9520 0.5480 0.2500

Results
space-group type = No. 64
electronic total energy = -6.660 eV/atom

First-principles (GGA-PBE) data for a geometry-optimized Pm4Sb3O2 structure, as listed in the Alexandria database.

abc: 8.6923 8.6923 6.5389
angles: 93.98 93.98 71.43
Positions (direct):
Pm1 0.0805 0.6765 0.9860
Pm2 0.2325 0.3884 0.4188
Pm3 0.3235 0.9195 0.5140
Pm4 0.3884 0.2325 0.9188
Pm5 0.6116 0.7675 0.0812
Pm6 0.6765 0.0805 0.4860
Pm7 0.7675 0.6116 0.5812
Pm8 0.9195 0.3235 0.0140
Sb1 0.0289 0.7631 0.4836
Sb2 0.2369 0.9711 0.0164
Sb3 0.4751 0.5249 0.7500
Sb4 0.5249 0.4751 0.2500
Sb5 0.7631 0.0289 0.9836
Sb6 0.9711 0.2369 0.5164
O1 0.1547 0.4046 0.0767
O2 0.4046 0.1547 0.5767
O3 0.5954 0.8453 0.4233
O4 0.8453 0.5954 0.9233

Results
space-group type = No. 15
electronic total energy = -6.454 eV/atom

First-principles (GGA-PBE) data for a geometry-optimized PmSbO3 structure, as listed in the Alexandria database.

abc: 7.0429 6.7078 7.3820
angles: 90.00 97.87 90.00
Positions (direct):
Pm1 0.1476 0.1672 0.1486
Pm2 0.1476 0.3328 0.6486
Pm3 0.8524 0.6672 0.3514
Pm4 0.8524 0.8328 0.8514
Sb1 0.4018 0.7080 0.0506
Sb2 0.4018 0.7920 0.5506
Sb3 0.5982 0.2080 0.4494
Sb4 0.5982 0.2920 0.9494
O1 0.0302 0.1150 0.8358
O2 0.0302 0.3850 0.3358
O3 0.3244 0.0762 0.4595
O4 0.3244 0.4238 0.9595
O5 0.4915 0.1441 0.1740
O6 0.4915 0.3559 0.6740
O7 0.5085 0.6441 0.3260
O8 0.5085 0.8559 0.8260
O9 0.6756 0.5762 0.0405
O10 0.6756 0.9238 0.5405
O11 0.9698 0.6150 0.6642
O12 0.9698 0.8850 0.1642

Results
space-group type = No. 14
electronic total energy = -7.015 eV/atom

First-principles (GGA-PBE) data for a geometry-optimized Pm6Sb5O structure, as listed in the Alexandria database.

abc: 7.5149 7.5149 7.5870
angles: 99.95 99.95 119.18
Positions (direct):
Pm1 0.0724 0.3743 0.2254
Pm2 0.2348 0.2348 0.7443
Pm3 0.3743 0.0724 0.2254
Pm4 0.6257 0.9276 0.7746
Pm5 0.7652 0.7652 0.2557
Pm6 0.9276 0.6257 0.7746
Sb1 0.1798 0.8202 0.5000
Sb2 0.3359 0.6641 0.0000
Sb3 0.5000 0.5000 0.5000
Sb4 0.6641 0.3359 0.0000
Sb5 0.8202 0.1798 0.5000
O1 0.0000 0.0000 0.0000

Results
space-group type = No. 12
electronic total energy = -5.797 eV/atom

First-principles (GGA-PBE) data for a geometry-optimized Pm3Sb2O structure, as listed in the Alexandria database.

abc: 7.0888 7.0888 6.6448
angles: 90.00 90.00 73.86
Positions (direct):
Pm1 0.1505 0.8495 0.5000
Pm2 0.3428 0.3452 0.2053
Pm3 0.3452 0.3428 0.7053
Pm4 0.6548 0.6572 0.2053
Pm5 0.6572 0.6548 0.7053
Pm6 0.8495 0.1505 0.0000
Sb1 0.0309 0.6700 0.9476
Sb2 0.3300 0.9691 0.9476
Sb3 0.6700 0.0309 0.4476
Sb4 0.9691 0.3300 0.4476
O1 0.4222 0.5778 0.4477
O2 0.5778 0.4222 0.9477

Results
space-group type = No. 36
electronic total energy = -6.098 eV/atom

First-principles (GGA-PBE) data for a geometry-optimized Pm2Sb2O structure, as listed in the Alexandria database.

abc: 11.1599 11.1599 6.2809
angles: 90.00 90.00 159.44
Positions (direct):
Pm1 0.0930 0.9070 0.5000
Pm2 0.3298 0.6702 0.5776
Pm3 0.6702 0.3298 0.0776
Pm4 0.9070 0.0930 0.0000
Sb1 0.2939 0.7061 0.0837
Sb2 0.4887 0.5113 0.3216
Sb3 0.5113 0.4887 0.8216
Sb4 0.7061 0.2939 0.5837
O1 0.1305 0.8695 0.1716
O2 0.8695 0.1305 0.6716

Results
space-group type = No. 36
electronic total energy = -6.104 eV/atom

First-principles (GGA-PBE) data for a geometry-optimized Pm4Sb6O19 structure, as listed in the Alexandria database.

abc: 8.2199 8.2232 8.2961
angles: 110.83 108.80 108.38
Positions (direct):
Pm1 0.0000 0.0000 0.0000
Pm2 0.0311 0.7221 0.3090
Pm3 0.3172 0.2762 0.5935
Pm4 0.7301 0.9983 0.2847
Sb1 0.1916 0.6712 0.7974
Sb2 0.3629 0.4989 0.1246
Sb3 0.5062 0.8531 0.6188
Sb4 0.5524 0.1641 0.9754
Sb5 0.6920 0.5146 0.4695
Sb6 0.8678 0.3469 0.7970
O1 0.0177 0.9973 0.2966
O2 0.0253 0.6485 0.9354
O3 0.0318 0.3672 0.6593
O4 0.0713 0.3007 0.9752
O5 0.2785 0.9550 0.9514
O6 0.3135 0.9925 0.5604
O7 0.3174 0.6818 0.3173
O8 0.3218 0.6047 0.6434
O9 0.3866 0.3248 0.9096
O10 0.3909 0.3701 0.2971
O11 0.4120 0.7006 0.0352
O12 0.6434 0.3723 0.6190
O13 0.6688 0.6481 0.2970
O14 0.6829 0.2769 0.2770
O15 0.7224 0.0649 0.5898
O16 0.7319 0.7528 0.6844
O17 0.7490 0.0294 0.0330
O18 0.7928 0.4081 0.0045
O19 0.9832 0.6537 0.5594

Results
space-group type = No. 1
electronic total energy = -6.775 eV/atom

First-principles (GGA-PBE) data for a geometry-optimized PmScSbO6 structure, as listed in the Alexandria database.

abc: 5.4563 5.4563 9.8797
angles: 90.00 90.00 120.00
Positions (direct):
Pm1 0.0000 0.0000 0.0000
Pm2 0.0000 0.0000 0.5000
Sc1 0.3333 0.6667 0.2500
Sc2 0.6667 0.3333 0.7500
Sb1 0.3333 0.6667 0.7500
Sb2 0.6667 0.3333 0.2500
O1 0.0164 0.3662 0.6391
O2 0.0164 0.6502 0.8609
O3 0.3498 0.3662 0.8609
O4 0.3498 0.9836 0.6391
O5 0.3662 0.0164 0.1391
O6 0.3662 0.3498 0.3609
O7 0.6338 0.6502 0.6391
O8 0.6338 0.9836 0.8609
O9 0.6502 0.0164 0.3609
O10 0.6502 0.6338 0.1391
O11 0.9836 0.3498 0.1391
O12 0.9836 0.6338 0.3609

Results
space-group type = No. 163
electronic total energy = -7.406 eV/atom

First-principles (GGA-PBE) data for a geometry-optimized Pm2ScSb2O2 structure, as listed in the Alexandria database.

abc: 8.6920 8.6920 8.6920
angles: 152.16 152.16 39.79
Positions (direct):
Pm1 0.1100 0.1100 0.0000
Pm2 0.8900 0.8900 0.0000
Sc1 0.5000 0.5000 0.0000
Sb1 0.3123 0.3123 0.0000
Sb2 0.6877 0.6877 0.0000
O1 0.0000 0.5000 0.5000
O2 0.5000 0.0000 0.5000

Results
space-group type = No. 139
electronic total energy = -6.887 eV/atom